No. 1
Entry from Alexandria: Pm4ErS7 after structural relaxation (PBE).

Results
Energy relative to the elements, uncorrected ... -2.070 eV/atom
Space-group type ... No. 8
Magnetization ... 0.0 μB/f.u.

Structure (POSCAR):
```
Pm4ErS7
1.0
3.9005 0.0000 0.0000
-1.9502 6.3560 -1.6928
0.0000 -0.0324 11.8082
Pm S Er
4 7 1
Cartesian
0.0000 1.4035 4.6322
1.9502 2.4996 8.8672
1.9502 6.3138 10.0880
0.0000 3.8208 1.2454
0.0000 3.3734 6.7349
1.9502 2.0291 0.0612
0.0000 4.2738 10.0480
1.9502 3.0779 3.3941
0.0000 0.4676 9.0652
0.0000 6.2819 4.2708
1.9502 5.8296 0.9862
1.9502 4.9105 5.5106
```


No. 2
Entry from Alexandria: PmEr4S5 after structural relaxation (PBE).

Results
Energy relative to the elements, uncorrected ... -1.960 eV/atom
Space-group type ... No. 71
Magnetization ... 0.0 μB/f.u.

Structure (POSCAR):
```
PmEr4S5
1.0
-3.2534 -1.9275 0.9254
-1.6772 0.3144 -5.2418
6.9301 -7.6594 0.2218
Er S Pm
4 5 1
Cartesian
1.8051 -3.4227 -0.7829
3.5777 -6.7840 -1.5517
0.1944 -5.8497 -3.3117
-1.5783 -2.4885 -2.5429
-0.8386 0.1572 -2.6209
1.0618 -6.0616 -0.7033
0.9377 -3.2109 -3.3912
2.6839 -6.5220 -4.1486
-0.6844 -2.7505 0.0540
0.0000 0.0000 0.0000
```


No. 3
Entry from Alexandria: Pm2Er3S4 after structural relaxation (PBE).

Results
Energy relative to the elements, uncorrected ... -1.757 eV/atom
Space-group type ... No. 164
Magnetization ... 0.0 μB/f.u.

Structure (POSCAR):
```
Pm2Er3S4
1.0
1.9456 -3.3699 0.0000
1.9456 3.3699 0.0000
0.0000 0.0000 16.0422
Er Pm S
3 2 4
Cartesian
0.0000 0.0000 0.0000
1.9456 -1.1233 6.5920
1.9456 1.1233 9.4502
1.9456 1.1233 3.3263
1.9456 -1.1233 12.7159
1.9456 1.1233 14.4965
1.9456 -1.1233 1.5457
0.0000 0.0000 5.0479
0.0000 0.0000 10.9943
```


No. 4
Entry from Alexandria: Pm2Er4S9 after structural relaxation (PBE).

Results
Energy relative to the elements, uncorrected ... -2.047 eV/atom
Space-group type ... No. 165
Magnetization ... 0.0 μB/f.u.

Structure (POSCAR):
```
Pm2Er4S9
1.0
-5.5206 -3.9406 1.4638
0.8140 -6.7664 1.3016
2.1245 3.7253 18.0394
S Pm Er
18 4 8
Cartesian
-2.8802 -4.8189 18.8011
-0.6615 0.6000 11.0770
-2.2328 0.0626 14.5443
1.8419 0.7145 13.9302
-0.6715 -4.3465 8.9137
-3.0423 -3.8762 5.9234
-1.3421 -1.7119 17.9772
0.6485 -4.6434 18.3480
-3.2306 -2.3383 2.4568
-0.3493 -7.0443 6.2604
-1.9106 -2.6352 11.8910
1.5827 -2.1509 11.3804
-4.4240 -7.6961 6.8746
-1.9206 -7.5817 9.7277
-4.1648 -4.8308 9.4243
-1.2400 -5.2698 2.8275
0.2981 -2.1627 2.0037
0.4602 -3.1055 14.8813
2.6266 -3.5868 16.7024
-5.2087 -3.3949 4.1023
-3.9542 -9.3884 9.1453
1.3721 2.4067 11.6594
-1.4061 -4.1003 16.5586
0.5234 0.0998 18.6892
-3.1055 -7.0815 2.1155
-0.5383 -1.7623 9.6696
-2.4658 -5.9608 7.5381
-2.0438 -5.2194 11.1352
-0.1163 -1.0209 13.2666
-1.1760 -2.8814 4.2461
```


No. 5
Entry from Alexandria: PmEr3S4 after structural relaxation (PBE).

Results
Energy relative to the elements, uncorrected ... -1.943 eV/atom
Space-group type ... No. 221
ΔE to the lowest computed polymorph ... 25 meV per atom
Magnetization ... 0.0 μB/f.u.

Structure (POSCAR):
```
PmEr3S4
1.0
-0.7331 3.5590 4.1700
-0.4709 -4.2324 3.5295
5.4620 0.1128 0.8639
Er S Pm
3 4 1
Cartesian
2.4956 -2.0598 2.1967
2.3645 1.8359 2.5170
-0.6020 -0.3367 3.8498
2.1290 -0.2803 4.2817
2.7310 0.0564 0.4320
-0.3665 1.7795 2.0850
-0.2354 -2.1162 1.7648
0.0000 0.0000 0.0000
```


No. 6
Entry from Alexandria: PmEr2S5 after structural relaxation (PBE).

Results
Energy relative to the elements, uncorrected ... -1.762 eV/atom
Space-group type ... No. 140
Magnetization ... 0.0 μB/f.u.

Structure (POSCAR):
```
PmEr2S5
1.0
7.2877 0.0000 0.0000
0.0000 7.2877 0.0000
-3.6438 -3.6438 6.2676
S Pm Er
10 2 4
Cartesian
2.5234 -1.1205 4.4613
1.1205 4.7643 1.8063
6.1672 2.5234 1.8063
-1.1205 -2.5234 4.4613
1.1205 2.5234 4.4613
2.5234 1.1205 1.8063
-2.5234 1.1205 4.4613
4.7643 6.1672 1.8063
0.0000 0.0000 0.0000
3.6438 3.6438 0.0000
3.6438 3.6438 3.1338
0.0000 0.0000 3.1338
4.7902 1.1464 0.0000
2.4975 6.1413 0.0000
6.1413 4.7902 0.0000
1.1464 2.4975 0.0000
```


No. 7
Entry from Alexandria: Pm5Er3S8 after structural relaxation (PBE).

Results
Energy relative to the elements, uncorrected ... -2.001 eV/atom
Space-group type ... No. 166
Magnetization ... 0.0 μB/f.u.

Structure (POSCAR):
```
Pm5Er3S8
1.0
-3.2763 -6.5051 -3.0829
3.6699 -3.8973 -5.8221
3.2558 -7.1396 1.4595
Pm Er S
5 3 8
Cartesian
0.0000 0.0000 0.0000
1.8247 -8.7710 -3.7227
1.8350 -1.9487 -2.9110
0.1968 -5.2012 -4.4525
-1.6382 -3.2525 -1.5414
3.4629 -5.5185 -2.1813
1.6279 -3.5698 0.7297
-0.0102 -6.8223 -0.8117
2.5014 -7.8715 -1.1503
0.8255 -11.1990 -2.7273
-0.7292 -7.6770 -3.3170
4.3787 -9.8651 -4.1284
0.9657 -4.4482 -1.7857
2.8239 -6.3431 -4.7182
2.6837 -13.0938 -5.6598
1.1480 -9.6705 -6.2951
```


No. 8
Entry from Alexandria: Pm4ErSc3S8 after structural relaxation (PBE).

Results
Energy relative to the elements, uncorrected ... -1.945 eV/atom
Space-group type ... No. 166
Magnetization ... 0.0 μB/f.u.

Structure (POSCAR):
```
Pm4ErSc3S8
1.0
7.6925 0.0000 0.0000
0.0000 7.8611 0.1137
-3.8463 -3.8425 5.4423
Pm S Er Sc
4 8 1 3
Cartesian
0.0000 0.0000 0.0000
1.9231 -1.9212 2.7211
3.8463 0.0000 0.0000
-1.9231 -1.9212 2.7211
5.7343 2.0855 0.1381
3.8463 3.8219 2.6985
0.0000 3.8193 2.7463
1.8880 1.9331 5.4179
1.9583 2.0855 0.1381
0.0000 0.1967 2.8574
3.8463 0.1993 2.8096
-1.8880 1.9331 5.4179
0.0000 3.9306 0.0568
-1.9231 2.0093 2.7780
3.8463 3.9306 0.0568
1.9231 2.0093 2.7780
```


No. 9
Entry from Alexandria: PmEr2Sc3S6 after structural relaxation (PBE).

Results
Energy relative to the elements, uncorrected ... -1.913 eV/atom
Space-group type ... No. 12
Magnetization ... 0.0 μB/f.u.

Structure (POSCAR):
```
PmEr2Sc3S6
1.0
3.7962 0.0000 0.0000
0.0000 7.6520 0.2744
-1.8981 -2.2070 7.9941
Sc Er S Pm
3 2 6 1
Cartesian
0.0000 5.6634 2.8527
1.8981 -0.2185 5.4159
1.8981 3.8260 0.1372
0.0000 1.7990 2.7366
1.8981 3.6459 5.5319
1.8981 3.7847 2.7951
0.0000 5.5901 0.2366
0.0000 1.6603 5.4735
1.8981 -0.1601 2.8047
1.8981 -0.1452 8.0320
0.0000 5.6050 5.4639
1.8981 0.0000 0.0000
```


No. 10
Entry from Alexandria: PmEr2ScS4 after structural relaxation (PBE).

Results
Energy relative to the elements, uncorrected ... -1.927 eV/atom
Space-group type ... No. 10
Magnetization ... 0.0 μB/f.u.

Structure (POSCAR):
```
PmEr2ScS4
1.0
-3.8142 0.0765 0.4002
0.3597 -5.1223 4.4081
0.4665 5.7870 3.3395
S Sc Pm Er
4 1 1 2
Cartesian
0.4317 3.0937 3.5235
0.3944 -2.4290 4.2242
-1.2818 0.4880 6.0740
-1.7062 0.2532 2.0738
0.0000 0.0000 0.0000
-1.7272 -2.5229 2.4042
0.4131 0.3323 3.8738
-1.6738 2.9317 1.8698
```


No. 11
Entry from Alexandria: PmEr2ScS6 after structural relaxation (PBE).

Results
Energy relative to the elements, uncorrected ... -1.993 eV/atom
Space-group type ... No. 146
Magnetization ... 0.0 μB/f.u.

Structure (POSCAR):
```
PmEr2ScS6
1.0
-2.2084 -0.3196 -6.4535
-3.7876 -5.2969 -2.0554
-7.0654 1.1352 -1.2519
S Pm Er Sc
6 1 2 1
Cartesian
-6.0693 -3.1881 -7.5565
-8.9219 -3.0461 -4.9959
-7.1447 -1.3063 -2.6155
-7.4085 -0.0640 -5.8156
-3.9072 -1.0901 -4.6281
-5.7654 -4.7297 -3.6608
-8.8613 -3.9156 -7.6125
-6.8639 1.0150 -1.3150
-6.2419 -2.4122 -4.9712
-2.2011 -1.7515 -2.7727
```


No. 12
Entry from Alexandria: PmEr4ScS8 after structural relaxation (PBE).

Results
Energy relative to the elements, uncorrected ... -1.899 eV/atom
Space-group type ... No. 160
Magnetization ... 0.0 μB/f.u.

Structure (POSCAR):
```
PmEr4ScS8
1.0
8.0195 0.0000 0.0000
4.0097 6.9451 0.0000
4.0097 2.3150 6.4086
S Sc Er Pm
8 1 4 1
Cartesian
10.2444 3.3455 4.7951
10.1735 5.8736 1.6018
8.0195 2.1428 1.6018
8.0195 7.1992 4.7951
5.7945 3.3455 4.7951
12.0292 6.9451 4.6813
4.0097 2.3150 1.7785
5.8655 5.8736 1.6018
12.0292 6.9451 0.0160
12.0292 4.6341 3.2042
14.0306 8.1005 3.2042
8.0195 4.6300 0.8520
10.0279 8.1005 3.2042
8.0195 4.6300 5.5250
```


No. 13
Entry from Alexandria: Pm3ErSc2S6 after structural relaxation (PBE).

Results
Energy relative to the elements, uncorrected ... -1.956 eV/atom
Space-group type ... No. 12
Magnetization ... 0.0 μB/f.u.

Structure (POSCAR):
```
Pm3ErSc2S6
1.0
-5.1202 -4.2118 -0.9094
4.1117 1.4439 -5.0785
4.1334 -4.0445 3.6661
Er Pm S Sc
1 3 6 2
Cartesian
0.0000 0.0000 0.0000
-1.5382 -5.3057 0.2394
4.6631 -1.5067 -2.5612
1.5625 -3.4062 -1.1609
4.0067 -4.2516 -2.3915
2.2616 -0.6350 -1.3498
2.9385 -3.8751 1.2501
-0.8818 -2.5608 0.0697
0.8633 -6.1773 -0.9720
0.1864 -2.9373 -3.5719
1.0346 -0.4412 -3.6889
-2.0431 -2.3267 -2.2990
```


No. 14
Entry from Alexandria: PmErSc2S6 after structural relaxation (PBE).

Results
Energy relative to the elements, uncorrected ... -1.954 eV/atom
Space-group type ... No. 146
Magnetization ... 0.0 μB/f.u.

Structure (POSCAR):
```
PmErSc2S6
1.0
6.7471 0.0000 0.0000
3.3735 5.8430 -0.0001
3.3731 1.9478 5.9447
Sc S Pm Er
2 6 1 1
Cartesian
3.3730 1.9483 5.7488
6.7472 3.8952 2.7183
5.4295 5.6918 1.4350
7.5212 5.7479 4.4136
5.8495 1.8563 1.4349
4.7555 3.6405 4.4139
7.9634 2.2981 4.4140
8.9621 4.1380 1.4353
10.1201 5.8429 3.4513
3.3733 1.9476 0.3482
```


No. 15
Entry from Alexandria: Pm2ErSe2S2 after structural relaxation (PBE).

Results
Energy relative to the elements, uncorrected ... -1.623 eV/atom
Space-group type ... No. 139
Magnetization ... 0.0 μB/f.u.

Structure (POSCAR):
```
Pm2ErSe2S2
1.0
5.0307 0.0000 0.0000
0.0000 5.0307 0.0000
-2.5153 -2.5153 7.4288
Se Er S Pm
2 1 2 2
Cartesian
0.0000 0.0000 2.7624
2.5153 2.5153 4.6664
0.0000 0.0000 0.0000
0.0000 2.5153 0.0000
2.5153 0.0000 0.0000
0.0000 0.0000 5.6038
2.5153 2.5153 1.8250
```


No. 16
Entry from Alexandria: PmErSeS after structural relaxation (PBE).

Results
Energy relative to the elements, uncorrected ... -1.876 eV/atom
Space-group type ... No. 160
Magnetization ... 0.0 μB/f.u.

Structure (POSCAR):
```
PmErSeS
1.0
-1.3821 -1.3487 3.4117
3.7082 1.2506 -0.2576
-2.3850 6.9766 -0.4595
S Se Er Pm
1 1 1 1
Cartesian
-0.4328 6.2757 0.4780
-0.8146 1.7902 3.0554
-1.6842 4.0122 1.3288
3.1693 1.6704 0.1162
```


No. 17
Entry from Alexandria: Pm2Er2Se2S3 after structural relaxation (PBE).

Results
Energy relative to the elements, uncorrected ... -1.662 eV/atom
Space-group type ... No. 139
Magnetization ... 0.0 μB/f.u.

Structure (POSCAR):
```
Pm2Er2Se2S3
1.0
5.3459 0.0000 0.0000
0.0000 5.3459 0.0000
-2.6730 -2.6730 7.5142
S Se Pm Er
3 2 2 2
Cartesian
0.0000 2.6730 3.7571
2.6730 0.0000 3.7571
0.0000 0.0000 0.0000
2.6730 2.6730 1.5312
0.0000 0.0000 5.9829
2.6730 2.6730 4.5114
0.0000 0.0000 3.0028
2.6730 0.0000 0.0000
0.0000 2.6730 0.0000
```


No. 18
Entry from Alexandria: PmErSiS after structural relaxation (PBE).

Results
Energy relative to the elements, uncorrected ... -1.351 eV/atom
Space-group type ... No. 160
Magnetization ... 0.0 μB/f.u.

Structure (POSCAR):
```
PmErSiS
1.0
4.0541 0.0000 0.0000
2.0271 3.5110 0.0000
2.0271 1.1703 6.7147
Pm Er Si S
1 1 1 1
Cartesian
6.0812 3.5110 6.1735
2.0271 1.1703 2.8033
6.0812 3.5110 1.1885
4.0542 2.3407 4.4105
```


No. 19
Entry from Alexandria: Pm3Sm2ErS6 after structural relaxation (PBE).

Results
Energy relative to the elements, uncorrected ... -2.021 eV/atom
Space-group type ... No. 12
Magnetization ... 0.0 μB/f.u.

Structure (POSCAR):
```
Pm3Sm2ErS6
1.0
6.9256 -0.0114 -0.0011
-3.4710 5.9930 -0.0011
-1.1534 -1.9971 6.5344
Pm Sm S Er
3 2 6 1
Cartesian
4.5756 0.0141 3.2661
1.1506 1.9922 3.2661
-2.2745 3.9703 3.2661
3.4642 1.9877 -0.0011
-0.0096 3.9939 -0.0011
3.4303 2.0380 4.9521
0.0509 3.9897 4.9521
2.2503 -0.0052 1.5802
2.3315 4.0371 1.5996
-0.0304 -0.0526 4.9327
-1.1291 1.9465 1.5802
0.0000 0.0000 0.0000
```


No. 20
Entry from Alexandria: PmSmEr2S4 after structural relaxation (PBE).

Results
Energy relative to the elements, uncorrected ... -1.996 eV/atom
Space-group type ... No. 10
Magnetization ... 0.0 μB/f.u.

Structure (POSCAR):
```
PmSmEr2S4
1.0
3.8874 0.0000 0.0000
0.0000 6.9495 -0.2107
0.0000 2.3738 6.3488
Er S Sm Pm
2 4 1 1
Cartesian
1.9437 1.1869 3.1744
0.0000 2.3738 6.3488
3.8874 2.2350 1.5786
1.9437 3.4220 4.7404
0.0001 7.0883 4.5595
1.9437 5.9013 1.3977
0.0000 4.6616 3.0691
1.9437 5.8485 6.2434
```


No. 21
Entry from Alexandria: PmSm2ErS6 after structural relaxation (PBE).

Results
Energy relative to the elements, uncorrected ... -2.034 eV/atom
Space-group type ... No. 146
Magnetization ... 0.0 μB/f.u.

Structure (POSCAR):
```
PmSm2ErS6
1.0
-1.1559 4.6394 -5.1717
1.7459 -1.6094 -6.6308
-5.4732 -1.4118 -4.8402
S Pm Er Sm
6 1 1 2
Cartesian
-1.7084 2.1172 -5.7625
-3.5493 -1.1724 -7.0379
0.0000 -0.8672 -8.4788
-1.3935 2.9809 -10.0483
-4.7412 2.0232 -8.1215
-3.3781 -0.2786 -10.4984
-2.5888 1.6721 -12.3103
-0.0808 0.8917 -3.9784
-2.0907 0.9592 -8.2655
-5.1681 -1.2816 -4.7916
```